Record 1
GGA-PBEsol NaCaAlPHO5F2, optimized geometry; N(E_F) = 0.0 states/eV/cell; electronic total energy = -6.656 eV/atom; calculated volume = 258.3 Å³/cell; space-group type = No. 11; total moment = 0.00 μB per formula unit
1.0
5.516 0.000 0.000
0.000 7.220 0.000
-2.113 0.000 6.486
Na Ca Al P H O F
2 2 2 2 2 10 4
direct
0.029 0.250 0.036
0.971 0.750 0.964
0.000 0.000 0.500
0.000 0.500 0.500
0.500 0.000 0.000
0.500 0.500 0.000
0.464 0.750 0.369
0.536 0.250 0.631
0.458 0.750 0.761
0.542 0.250 0.239
0.257 0.250 0.488
0.275 0.750 0.497
0.411 0.576 0.231
0.411 0.924 0.231
0.480 0.250 0.085
0.520 0.750 0.915
0.589 0.076 0.769
0.589 0.424 0.769
0.725 0.250 0.503
0.743 0.750 0.512
0.156 0.006 0.849
0.156 0.494 0.849
0.844 0.506 0.151
0.844 0.994 0.151

---

Record 2
GGA-PBEsol NaCa2Al2P2H5O11F4, optimized geometry; N(E_F) = 0.0 states/eV/cell; electronic total energy = -6.489 eV/atom; calculated volume = 526.3 Å³/cell; space-group type = No. 11; total moment = 0.00 μB per formula unit
1.0
5.428 0.000 0.000
0.000 10.654 0.000
-2.545 0.000 9.101
Na Ca Al P H O F
2 4 4 4 10 22 8
direct
0.204 0.250 0.186
0.796 0.750 0.814
0.245 0.581 0.645
0.245 0.919 0.645
0.755 0.081 0.355
0.755 0.419 0.355
0.219 0.593 0.240
0.219 0.907 0.240
0.781 0.093 0.760
0.781 0.407 0.760
0.356 0.750 0.989
0.370 0.250 0.547
0.630 0.750 0.453
0.644 0.250 0.011
0.034 0.750 0.363
0.177 0.521 0.940
0.177 0.979 0.940
0.231 0.124 0.896
0.231 0.376 0.896
0.769 0.624 0.104
0.769 0.876 0.104
0.823 0.021 0.060
0.823 0.479 0.060
0.966 0.250 0.637
0.078 0.250 0.477
0.100 0.750 0.273
0.136 0.042 0.856
0.136 0.458 0.856
0.239 0.750 0.820
0.254 0.633 0.053
0.254 0.867 0.053
0.351 0.250 0.970
0.444 0.131 0.647
0.444 0.369 0.647
0.483 0.750 0.572
0.517 0.250 0.428
0.556 0.631 0.353
0.556 0.869 0.353
0.649 0.750 0.030
0.746 0.133 0.947
0.746 0.367 0.947
0.761 0.250 0.180
0.864 0.542 0.144
0.864 0.958 0.144
0.900 0.250 0.727
0.922 0.750 0.523
0.141 0.529 0.404
0.141 0.971 0.404
0.339 0.059 0.211
0.339 0.441 0.211
0.661 0.559 0.789
0.661 0.941 0.789
0.859 0.029 0.596
0.859 0.471 0.596

---

Record 3
GGA-PBEsol LiCaAlF6, optimized geometry; N(E_F) = 0.0 states/eV/cell; electronic total energy = -5.804 eV/atom; calculated volume = 208.1 Å³/cell; space-group type = No. 163; total moment = 0.00 μB per formula unit; E_form (uncorrected) = -3.608 eV/atom
1.0
5.000 0.000 0.000
-2.500 4.330 0.000
0.000 0.000 9.611
Li Ca Al F
2 2 2 12
direct
0.333 0.667 0.250
0.667 0.333 0.750
0.000 0.000 0.000
0.000 0.000 0.500
0.333 0.667 0.750
0.667 0.333 0.250
0.028 0.375 0.643
0.028 0.654 0.857
0.346 0.375 0.857
0.346 0.972 0.643
0.375 0.028 0.143
0.375 0.346 0.357
0.625 0.654 0.643
0.625 0.972 0.857
0.654 0.028 0.357
0.654 0.625 0.143
0.972 0.346 0.143
0.972 0.625 0.357

---

Record 4
GGA-PBEsol Na2Ca3Al2F14, optimized geometry; N(E_F) = 0.0 states/eV/cell; electronic total energy = -5.732 eV/atom; calculated volume = 530.9 Å³/cell; space-group type = No. 199; total moment = 0.00 μB per formula unit; E_form (uncorrected) = -3.620 eV/atom
1.0
-5.101 5.101 5.101
5.101 -5.101 5.101
5.101 5.101 -5.101
Na Ca Al F
4 6 4 28
direct
0.000 0.330 0.500
0.170 0.170 0.170
0.330 0.500 0.000
0.500 0.000 0.330
0.035 0.750 0.785
0.250 0.715 0.465
0.465 0.250 0.715
0.715 0.465 0.250
0.750 0.785 0.035
0.785 0.035 0.750
0.000 0.005 0.500
0.005 0.500 0.000
0.495 0.495 0.495
0.500 0.000 0.005
0.000 0.579 0.500
0.000 0.949 0.678
0.056 0.312 0.982
0.074 0.518 0.830
0.178 0.949 0.500
0.188 0.244 0.670
0.244 0.670 0.188
0.256 0.444 0.426
0.312 0.982 0.056
0.322 0.822 0.771
0.426 0.256 0.444
0.444 0.426 0.256
0.500 0.000 0.579
0.500 0.178 0.949
0.518 0.830 0.074
0.551 0.551 0.729
0.551 0.729 0.551
0.579 0.500 0.000
0.670 0.188 0.244
0.678 0.000 0.949
0.729 0.551 0.551
0.771 0.322 0.822
0.822 0.771 0.322
0.830 0.074 0.518
0.921 0.921 0.921
0.949 0.500 0.178
0.949 0.678 0.000
0.982 0.056 0.312

---

Record 5
GGA-PBEsol NaCaAlF6, optimized geometry; N(E_F) = 0.0 states/eV/cell; electronic total energy = -5.696 eV/atom; calculated volume = 349.1 Å³/cell; E above lowest polymorph = 0.00 kcal/mol of atoms; space-group type = No. 150; total moment = 0.00 μB per formula unit; E_form (uncorrected) = -3.564 eV/atom
1.0
8.936 0.000 0.000
-4.468 7.739 0.000
0.000 0.000 5.049
Na Ca Al F
3 3 3 18
direct
0.000 0.712 0.000
0.288 0.288 0.000
0.712 0.000 0.000
0.000 0.371 0.500
0.371 0.000 0.500
0.629 0.629 0.500
0.000 0.000 0.500
0.333 0.667 0.998
0.667 0.333 0.002
0.085 0.194 0.701
0.110 0.915 0.701
0.143 0.589 0.789
0.194 0.085 0.299
0.223 0.475 0.207
0.253 0.777 0.207
0.411 0.554 0.789
0.446 0.857 0.789
0.475 0.223 0.793
0.525 0.747 0.207
0.554 0.411 0.211
0.589 0.143 0.211
0.747 0.525 0.793
0.777 0.253 0.793
0.806 0.890 0.701
0.857 0.446 0.211
0.890 0.806 0.299
0.915 0.110 0.299

---

Record 6
GGA-PBEsol NaCaAlF6, optimized geometry; N(E_F) = 0.0 states/eV/cell; electronic total energy = -5.689 eV/atom; calculated volume = 915.7 Å³/cell; E above lowest polymorph = 0.16 kcal/mol of atoms; space-group type = No. 14; total moment = 0.04 μB per formula unit; E_form (uncorrected) = -3.557 eV/atom
1.0
8.715 0.000 0.000
0.000 5.185 0.000
-0.693 0.000 20.267
Na Ca Al F
8 8 8 48
direct
0.024 0.242 0.319
0.024 0.258 0.819
0.043 0.207 0.063
0.043 0.293 0.563
0.957 0.707 0.437
0.957 0.793 0.937
0.976 0.742 0.181
0.976 0.758 0.681
0.362 0.240 0.689
0.362 0.260 0.189
0.366 0.186 0.936
0.366 0.314 0.436
0.634 0.686 0.564
0.634 0.814 0.064
0.638 0.740 0.811
0.638 0.760 0.311
0.256 0.689 0.073
0.256 0.747 0.320
0.256 0.753 0.820
0.256 0.811 0.573
0.744 0.189 0.427
0.744 0.247 0.180
0.744 0.253 0.680
0.744 0.311 0.927
0.080 0.721 0.533
0.080 0.779 0.033
0.094 0.638 0.775
0.094 0.862 0.275
0.155 0.553 0.382
0.155 0.947 0.882
0.161 0.010 0.633
0.161 0.490 0.133
0.234 0.534 0.627
0.234 0.966 0.127
0.241 0.022 0.374
0.241 0.478 0.874
0.254 0.043 0.771
0.254 0.457 0.271
0.267 0.097 0.520
0.267 0.403 0.020
0.377 0.633 0.517
0.377 0.867 0.017
0.394 0.591 0.766
0.394 0.909 0.266
0.430 0.624 0.364
0.430 0.876 0.864
0.435 0.599 0.116
0.435 0.901 0.616
0.565 0.099 0.384
0.565 0.401 0.884
0.570 0.124 0.136
0.570 0.376 0.636
0.606 0.091 0.734
0.606 0.409 0.234
0.623 0.133 0.983
0.623 0.367 0.483
0.733 0.597 0.980
0.733 0.903 0.480
0.746 0.543 0.729
0.746 0.957 0.229
0.759 0.522 0.126
0.759 0.978 0.626
0.766 0.034 0.873
0.766 0.466 0.373
0.839 0.510 0.867
0.839 0.990 0.367
0.845 0.053 0.118
0.845 0.447 0.618
0.906 0.138 0.725
0.906 0.362 0.225
0.920 0.221 0.967
0.920 0.279 0.467

---

- Which of these has the lowest calculated volume?
  LiCaAlF6